First-principles (PBE-GGA) data for a geometry-optimized CaSc2Ru structure, as listed in the Alexandria database.

Structure (CIF):
```
data_CaSc2Ru
_chemical_formula_sum 'Ca2 Sc4 Ru2'
_symmetry_space_group_name_H-M 'C 1 2/m 1'
_symmetry_Int_Tables_number 12
_cell_length_a 6.073
_cell_length_b 9.466
_cell_length_c 3.200
_cell_angle_alpha 90.00
_cell_angle_beta 112.97
_cell_angle_gamma 90.00
loop_
_symmetry_equiv_pos_as_xyz
'x,y,z'
'-x,-y,-z'
'-x,y,-z'
'x,-y,z'
'x+1/2,y+1/2,z'
'-x+1/2,-y+1/2,-z'
'-x+1/2,y+1/2,-z'
'x+1/2,-y+1/2,z'
loop_
_atom_site_label
_atom_site_type_symbol
_atom_site_fract_x
_atom_site_fract_y
_atom_site_fract_z
Ca1 Ca 0.000 0.000 0.000
Sc1 Sc 0.250 0.250 0.500
Ru1 Ru 0.000 0.500 0.000
```

Fermi-level density of states, states/eV per atom: 0.721
V, Å³/cell: 169
Crystal system: monoclinic
ΔE to the lowest computed polymorph, kJ/mol of formula units: 200.9
Energy relative to the elements, eV/atom: 0.233
M_tot, μB per formula unit: 0.0

First-principles (PBE-GGA) data for a geometry-optimized Tb2Pr2NdY6 structure, as listed in the Alexandria database.

Structure (CIF):
```
data_Tb2Pr2NdY6
_chemical_formula_sum 'Tb4 Pr4 Nd2 Y12'
_symmetry_space_group_name_H-M 'C 1 2/m 1'
_symmetry_Int_Tables_number 12
_cell_length_a 6.180
_cell_length_b 10.736
_cell_length_c 11.799
_cell_angle_alpha 90.00
_cell_angle_beta 100.41
_cell_angle_gamma 90.00
loop_
_symmetry_equiv_pos_as_xyz
'x,y,z'
'-x,-y,-z'
'-x,y,-z'
'x,-y,z'
'x+1/2,y+1/2,z'
'-x+1/2,-y+1/2,-z'
'-x+1/2,y+1/2,-z'
'x+1/2,-y+1/2,z'
loop_
_atom_site_label
_atom_site_type_symbol
_atom_site_fract_x
_atom_site_fract_y
_atom_site_fract_z
Tb1 Tb 0.000 0.165 0.000
Pr1 Pr 0.000 0.334 0.500
Nd1 Nd 0.000 0.500 0.000
Y1 Y 0.248 0.167 0.751
Y2 Y 0.250 0.000 0.248
```

Fermi-level density of states, states/eV per atom: 1.600
V, Å³/cell: 770
Crystal system: monoclinic
Energy relative to the elements, eV/atom: 0.182
M_tot, μB per formula unit: 0.0

First-principles (PBE-GGA) data for a geometry-optimized BeAlAg2 structure, as listed in the Alexandria database.

Structure (CIF):
```
data_BeAlAg2
_chemical_formula_sum 'Be1 Al1 Ag2'
_symmetry_space_group_name_H-M 'P 4 m m'
_symmetry_Int_Tables_number 99
_cell_length_a 3.173
_cell_length_b 3.173
_cell_length_c 5.911
_cell_angle_alpha 90.00
_cell_angle_beta 90.00
_cell_angle_gamma 90.00
loop_
_symmetry_equiv_pos_as_xyz
'x,y,z'
'-y,x,z'
'-x,-y,z'
'y,-x,z'
'-x,y,z'
'y,x,z'
'x,-y,z'
'-y,-x,z'
loop_
_atom_site_label
_atom_site_type_symbol
_atom_site_fract_x
_atom_site_fract_y
_atom_site_fract_z
Be1 Be 0.000 0.000 0.000
Al1 Al 0.500 0.500 0.760
Ag1 Ag 0.000 0.000 0.514
Ag2 Ag 0.500 0.500 0.198
```

Fermi-level density of states, states/eV per atom: 0.298
V, Å³/cell: 60
Crystal system: tetragonal
ΔE to the lowest computed polymorph, kJ/mol of formula units: 8.6
Energy relative to the elements, eV/atom: 0.088
M_tot, μB per formula unit: 0.0